# 1
This record from the Alexandria database describes an optimized crystal structure of K3NdSi7O17. The functional is PBE.

a = 16.3976 Å, b = 16.3976 Å, c = 7.2746 Å
α = 90.00°, β = 90.00°, γ = 120.00°
Space group P-3 (No. 147)
Asymmetric unit:
K1 0.0054 0.7626 0.3809 x6
K2 0.0952 0.4597 0.9696 x6
Nd1 0.0000 0.0000 0.5000 x1
Nd2 0.0000 0.5000 0.5000 x3
Si1 0.0096 0.8453 0.8781 x6
Si2 0.0946 0.7142 0.8022 x6
Si3 0.1670 0.6918 0.1754 x6
Si4 0.2089 0.4611 0.5217 x6
Si5 0.3333 0.6667 0.0784 x2
Si6 0.3333 0.6667 0.6355 x2
O1 0.0182 0.1298 0.3170 x6
O2 0.0209 0.7504 0.8633 x6
O3 0.0390 0.6046 0.7532 x6
O4 0.0665 0.6203 0.2590 x6
O5 0.0686 0.1806 0.9556 x6
O6 0.1153 0.4600 0.5814 x6
O7 0.1580 0.7827 0.6284 x6
O8 0.1697 0.7392 0.9733 x6
O9 0.2124 0.4413 0.3006 x6
O10 0.2280 0.6365 0.1493 x6
O11 0.2555 0.6939 0.5663 x6
O12 0.3333 0.6667 0.8573 x2

# 2
This record from the Alexandria database describes an optimized crystal structure of K2NdSiO4. The functional is PBE.

a = 5.841 Å, b = 12.505 Å, c = 23.230 Å
α = 90.00°, β = 90.00°, γ = 90.00°
Space group Fddd (No. 70, origin choice 2)
Asymmetric unit:
K1 0.125 0.125 0.313 x16
Nd1 0.125 0.125 0.125 x8
Si1 0.125 0.125 0.625 x8
O1 0.054 0.295 0.839 x32

# 3
This record from the Alexandria database describes an optimized crystal structure of K2Nd2SiO6. The functional is PBE.

a = 5.886 Å, b = 10.002 Å, c = 6.567 Å
α = 90.00°, β = 103.55°, γ = 90.00°
Space group C2/m (No. 12)
Asymmetric unit:
K1 0.000 0.154 0.000 x4
Nd1 0.000 0.335 0.500 x4
Si1 0.000 0.000 0.500 x2
O1 0.178 0.138 0.662 x8
O2 0.215 0.000 0.336 x4

# 4
This record from the Alexandria database describes an optimized crystal structure of KNdSiO4. The functional is PBE.

a = 5.807 Å, b = 5.669 Å, c = 7.399 Å
α = 90.00°, β = 104.03°, γ = 90.00°
Space group P2_1/m (No. 11)
Asymmetric unit:
K1 0.185 0.250 0.419 x2
Nd1 0.277 0.250 0.947 x2
Si1 0.255 0.750 0.170 x2
O1 0.071 0.750 0.306 x2
O2 0.090 0.750 0.952 x2
O3 0.438 0.522 0.191 x4

# 5
This record from the Alexandria database describes an optimized crystal structure of K2NdSi2O6. The functional is PBE.

a = 10.328 Å, b = 5.969 Å, c = 7.014 Å
α = 90.00°, β = 121.39°, γ = 90.00°
Space group C2/m (No. 12)
Asymmetric unit:
K1 0.206 0.000 0.161 x4
Nd1 0.000 0.000 0.500 x2
Si1 0.052 0.500 0.212 x4
O1 0.022 0.271 0.763 x8
O2 0.234 0.500 0.322 x4

# 6
This record from the Alexandria database describes an optimized crystal structure of K2NdSnO4. The functional is PBE.

a = 7.959 Å, b = 7.824 Å, c = 6.265 Å
α = 90.00°, β = 128.46°, γ = 90.00°
Space group C2 (No. 5)
Asymmetric unit:
K1 0.000 0.000 0.000 x2
K2 0.000 0.255 0.500 x2
Nd1 0.000 0.480 0.000 x2
Sn1 0.000 0.743 0.500 x2
O1 0.165 0.581 0.433 x4
O2 0.244 0.290 0.062 x4

no.,formation energy without anion corrections (eV/f.u.)
1,-77.35
2,-16.71
3,-27.16
4,-19.90
5,-27.63
6,-15.51